[1]
DFT (PBE-GGA) results for a relaxed structure of AgBr.

Structure (POSCAR):
```
AgBr
1.0
11.834 0.000 0.000
0.000 4.120 0.000
0.000 0.000 7.266
Ag Br
6 6
direct
0.000 0.005 0.000
0.130 0.503 0.552
0.370 0.497 0.052
0.500 0.995 0.500
0.630 0.497 0.052
0.870 0.503 0.552
0.000 0.002 0.394
0.157 0.505 0.919
0.343 0.495 0.419
0.500 0.998 0.894
0.657 0.495 0.419
0.843 0.505 0.919
```

Results
E_form (uncorrected) = -0.624 eV/f.u.
Space-group type = No. 31



[2]
DFT (PBE-GGA) results for a relaxed structure of Ce2NbAs.

Structure (POSCAR):
```
Ce2NbAs
1.0
1.548 0.893 10.727
-1.548 0.893 10.727
0.000 -1.787 10.727
Ce Nb As
2 1 1
direct
0.088 0.088 0.088
0.912 0.912 0.912
0.000 0.000 0.000
0.500 0.500 0.500
```

Results
Space-group type = No. 166
Formation enthalpy at 0 K = 0.102 eV per atom
DOS at the Fermi energy = 8.84 states/eV per cell



[3]
DFT (PBE-GGA) results for a relaxed structure of LaLuCuSn.

Structure (POSCAR):
```
LaLuCuSn
1.0
0.000 3.711 3.711
3.711 0.000 3.711
3.711 3.711 0.000
La Lu Cu Sn
1 1 1 1
direct
0.000 0.000 0.000
0.500 0.500 0.500
0.750 0.750 0.750
0.250 0.250 0.250
```

Results
Space-group type = No. 216
Formation enthalpy at 0 K = -0.400 eV per atom
DOS at the Fermi energy = 3.59 states/eV per cell



[4]
DFT (PBE-GGA) results for a relaxed structure of Cd3ReS.

Structure (POSCAR):
```
Cd3ReS
1.0
5.322 0.000 0.000
0.000 5.322 0.000
0.000 0.000 5.322
Cd Re S
3 1 1
direct
0.000 0.000 0.500
0.000 0.500 0.000
0.500 0.000 0.000
0.000 0.000 0.000
0.500 0.500 0.500
```

Results
E_form (uncorrected) = 6.194 eV/f.u.
Space-group type = No. 221
DOS at the Fermi energy = 3.35 states/eV per cell



[5]
DFT (PBE-GGA) results for a relaxed structure of TbPm4TmSe8.

Structure (POSCAR):
```
TbPm4TmSe8
1.0
4.284 2.473 6.963
-4.284 2.473 6.963
0.000 -4.947 6.963
Tb Pm Tm Se
1 4 1 8
direct
0.000 0.000 0.000
0.122 0.624 0.624
0.247 0.247 0.247
0.624 0.122 0.624
0.624 0.624 0.122
0.624 0.624 0.624
0.380 0.380 0.380
0.389 0.389 0.845
0.389 0.845 0.389
0.394 0.860 0.860
0.845 0.389 0.389
0.860 0.394 0.860
0.860 0.860 0.394
0.870 0.870 0.870
```

Results
E_form (uncorrected) = -24.091 eV/f.u.
Space-group type = No. 160
DOS at the Fermi energy = 8.50 states/eV per cell



[6]
DFT (PBE-GGA) results for a relaxed structure of CaNbAu.

Structure (POSCAR):
```
CaNbAu
1.0
8.007 0.000 0.000
0.000 3.125 0.000
0.000 0.000 10.407
Ca Nb Au
4 4 4
direct
0.163 0.250 0.100
0.337 0.750 0.600
0.663 0.250 0.400
0.837 0.750 0.900
0.059 0.250 0.400
0.441 0.750 0.900
0.559 0.250 0.100
0.941 0.750 0.600
0.147 0.250 0.803
0.353 0.750 0.303
0.647 0.250 0.697
0.853 0.750 0.197
```

Results
Space-group type = No. 62
Formation enthalpy at 0 K = -0.094 eV per atom
DOS at the Fermi energy = 2.73 states/eV per cell



[7]
DFT (PBE-GGA) results for a relaxed structure of LaPm4Y3.

Structure (POSCAR):
```
LaPm4Y3
1.0
11.659 0.000 0.000
0.000 7.389 0.000
0.000 0.000 6.379
La Pm Y
2 8 6
direct
0.000 0.128 0.000
0.500 0.872 0.500
0.000 0.376 0.511
0.000 0.627 0.004
0.247 0.624 0.338
0.253 0.376 0.838
0.500 0.373 0.504
0.500 0.624 0.011
0.747 0.376 0.838
0.753 0.624 0.338
0.000 0.875 0.504
0.249 0.124 0.339
0.251 0.876 0.839
0.500 0.125 0.004
0.749 0.876 0.839
0.751 0.124 0.339
```

Results
Space-group type = No. 31
Formation enthalpy at 0 K = 0.025 eV per atom
DOS at the Fermi energy = 28.46 states/eV per cell



[8]
DFT (PBE-GGA) results for a relaxed structure of RbVTeI2.

Structure (POSCAR):
```
RbVTeI2
1.0
6.604 0.000 0.000
0.000 6.604 0.000
0.000 0.000 6.543
Rb V Te I
1 1 1 2
direct
0.000 0.000 0.000
0.500 0.500 0.500
0.000 0.000 0.500
0.000 0.500 0.000
0.500 0.000 0.000
```

Results
E_form (uncorrected) = 4.032 eV/f.u.
Space-group type = No. 123
DOS at the Fermi energy = 14.37 states/eV per cell



[9]
DFT (PBE-GGA) results for a relaxed structure of Zn2Ni2Os.

Structure (POSCAR):
```
Zn2Ni2Os
1.0
6.931 0.000 0.000
0.000 6.931 0.000
0.000 0.000 2.625
Zn Ni Os
4 4 2
direct
0.128 0.372 0.000
0.372 0.872 0.000
0.628 0.128 0.000
0.872 0.628 0.000
0.172 0.672 0.500
0.328 0.172 0.500
0.672 0.828 0.500
0.828 0.328 0.500
0.000 0.000 0.000
0.500 0.500 0.000
```

Results
Space-group type = No. 127
Formation enthalpy at 0 K = 0.117 eV per atom
DOS at the Fermi energy = 8.69 states/eV per cell



[10]
DFT (PBE-GGA) results for a relaxed structure of NbAg3Bi.

Structure (POSCAR):
```
NbAg3Bi
1.0
5.154 0.000 0.000
0.000 5.154 0.000
0.000 0.000 5.154
Nb Ag Bi
1 3 1
direct
0.000 0.000 0.000
0.000 0.000 0.500
0.000 0.500 0.000
0.500 0.000 0.000
0.500 0.500 0.500
```

Results
Space-group type = No. 221
Formation enthalpy at 0 K = 1.280 eV per atom
DOS at the Fermi energy = 7.36 states/eV per cell



[11]
DFT (PBE-GGA) results for a relaxed structure of SrGdCuHg.

Structure (POSCAR):
```
SrGdCuHg
1.0
0.000 3.763 3.763
3.763 0.000 3.763
3.763 3.763 0.000
Sr Gd Cu Hg
1 1 1 1
direct
0.000 0.000 0.000
0.500 0.500 0.500
0.250 0.250 0.250
0.750 0.750 0.750
```

Results
Space-group type = No. 216
Formation enthalpy at 0 K = -0.217 eV per atom
DOS at the Fermi energy = 4.34 states/eV per cell



[12]
DFT (PBE-GGA) results for a relaxed structure of Tl2CoSe.

Structure (POSCAR):
```
Tl2CoSe
1.0
3.323 0.000 0.000
0.000 2.196 6.388
0.000 -2.196 6.388
Tl Co Se
2 1 1
direct
0.000 0.000 0.000
0.500 0.319 0.319
0.000 0.762 0.762
0.500 0.639 0.639
```

Results
E_form (uncorrected) = 0.291 eV/f.u.
Space-group type = No. 38
DOS at the Fermi energy = 2.87 states/eV per cell